No. 1
This record from Alexandria describes crystalline CaTaV at its relaxed geometry. The functional is GGA-PBE.

Cell lengths 3.425, 3.425, 11.509 Å; angles 90.00, 90.00, 90.00 degrees
Space group P4mm (No. 99)
One atom of each set of equivalent atoms:
Ca (0.000, 0.000, 0.000)
Ca (0.500, 0.500, 0.277)
Ta (0.000, 0.000, 0.475)
Ta (0.000, 0.000, 0.716)
V (0.500, 0.500, 0.574)
V (0.500, 0.500, 0.810)

## Properties
Total DFT energy (no corrections): -7.316 eV per atom
Density: 6.69 Mg/m³



No. 2
This record from Alexandria describes crystalline PrTlZnCd at its relaxed geometry. The functional is GGA-PBE.

Cell lengths 7.339, 7.339, 7.339 Å; angles 90.00, 90.00, 90.00 degrees
Space group F-43m (No. 216)
One atom of each set of equivalent atoms:
Pr (0.000, 0.000, 0.000)
Tl (0.250, 0.250, 0.750)
Zn (0.250, 0.250, 0.250)
Cd (0.000, 0.000, 0.500)

## Properties
Total DFT energy (no corrections): -2.555 eV per atom
Density: 8.79 Mg/m³



No. 3
This record from Alexandria describes crystalline ErTmMg2 at its relaxed geometry. The functional is GGA-PBE.

Cell lengths 3.755, 3.755, 7.527 Å; angles 90.00, 90.00, 90.00 degrees
Space group P4/mmm (No. 123)
One atom of each set of equivalent atoms:
Er (0.000, 0.000, 0.000)
Tm (0.000, 0.000, 0.500)
Mg (0.500, 0.500, 0.251)

## Properties
Total DFT energy (no corrections): -3.121 eV per atom
Density: 6.02 Mg/m³



No. 4
This record from Alexandria describes crystalline Y2Mo at its relaxed geometry. The functional is GGA-PBE.

Cell lengths 7.102, 7.131, 3.339 Å; angles 90.00, 90.00, 90.00 degrees
Space group Pnnm (No. 58)
One atom of each set of equivalent atoms:
Y (0.170, 0.215, 0.000)
Mo (0.000, 0.500, 0.500)

## Properties
Total DFT energy (no corrections): -7.340 eV per atom
Density: 5.38 Mg/m³



no.,formation energy (meV per atom)
1,341
2,-222
3,-65
4,580